Record 1
First-principles (PBE) data for an optimized crystal structure of Rb2Na3RuO6, as listed in Alexandria via LeMat-Bulk.

```
Rb2Na3RuO6
1.0
6.6978 -0.2100 -0.0080
-3.5292 5.6965 -0.0080
-1.0628 -1.8402 5.2911
Na Rb O Ru
3 2 6 1
direct
0.8734 0.1266 0.5000
0.5000 0.5000 0.5000
0.1266 0.8734 0.5000
0.6751 0.3249 0.0000
0.3249 0.6751 0.0000
0.8054 0.8054 0.1909
0.6958 0.9264 0.7745
0.9264 0.6958 0.7745
0.1946 0.1946 0.8091
0.3042 0.0736 0.2255
0.0736 0.3042 0.2255
0.0000 0.0000 0.0000
```

## Properties
density of states at the Fermi level	5.91	states/eV per cell
spin magnetization	1.046	μB/f.u.
VASP energy	-4.942	eV/atom
V	198	Å³/cell
ΔE_f (raw)	-1.199	eV/atom


Record 2
First-principles (PBE) data for an optimized crystal structure of RbNaRuO4, as listed in Alexandria via LeMat-Bulk.

```
RbNaRuO4
1.0
6.1235 0.0000 0.1052
0.0000 6.2234 0.0000
-2.2744 0.0000 7.1464
O Rb Na Ru
8 2 2 2
direct
0.9311 0.4732 0.6998
0.0689 0.5268 0.3002
0.5674 0.2500 0.8233
0.4509 0.7500 0.5710
0.5491 0.2500 0.4290
0.4326 0.7500 0.1767
0.0689 0.9732 0.3002
0.9311 0.0268 0.6998
0.7241 0.7500 0.9434
0.2759 0.2500 0.0566
0.8139 0.7500 0.4695
0.1861 0.2500 0.5305
0.7330 0.2500 0.6608
0.2670 0.7500 0.3392
```

## Properties
spin magnetization	2.001	μB/f.u.
VASP energy	-5.747	eV/atom
V	274	Å³/cell
ΔE_f (raw)	-1.262	eV/atom


Record 3
First-principles (PBE) data for an optimized crystal structure of Rb2Na2RuO6, as listed in Alexandria via LeMat-Bulk.

```
Rb2Na2RuO6
1.0
5.7639 0.1337 0.0235
-2.7327 5.0768 0.0235
-1.1164 -1.9190 6.2908
O Rb Na Ru
6 2 2 1
direct
0.6734 0.9468 0.3266
0.3266 0.0532 0.6734
0.8008 0.8008 0.6701
0.0532 0.3266 0.6734
0.1992 0.1992 0.3299
0.9468 0.6734 0.3266
0.1783 0.8217 0.0000
0.8217 0.1783 0.0000
0.6595 0.3405 0.5000
0.3405 0.6595 0.5000
0.0000 0.0000 0.5000
```

## Properties
spin magnetization	0.165	μB/f.u.
VASP energy	-5.099	eV/atom
V	187	Å³/cell
ΔE_f (raw)	-1.136	eV/atom


Record 4
First-principles (PBE) data for an optimized crystal structure of RbNaRuO3, as listed in Alexandria via LeMat-Bulk.

```
RbNaRuO3
1.0
3.9015 0.0000 0.0000
-1.9507 6.7881 0.0298
0.0000 -1.9526 7.2050
O Ru Na Rb
6 2 2 2
direct
0.4988 0.9977 0.6786
0.8568 0.7137 0.6404
0.8602 0.7204 0.2218
0.1432 0.2863 0.3596
0.5012 0.0023 0.3214
0.1398 0.2796 0.7782
0.0010 0.0020 0.3431
0.9990 0.9980 0.6569
0.6700 0.3401 0.5761
0.3300 0.6599 0.4239
0.6466 0.2933 0.0749
0.3534 0.7067 0.9251
```

## Properties
density of states at the Fermi level	3.46	states/eV per cell
spin magnetization	0.556	μB/f.u.
VASP energy	-5.605	eV/atom
V	191	Å³/cell
ΔE_f (raw)	-1.199	eV/atom


Record 5
First-principles (PBE) data for an optimized crystal structure of Rb3NaRu2O8, as listed in Alexandria via LeMat-Bulk.

```
Rb3NaRu2O8
1.0
-2.5398 -5.5030 -1.3229
4.6014 0.3768 4.1436
-5.3976 1.0737 5.8963
O Rb Na Ru
8 3 1 2
direct
0.6442 0.8221 0.3080
0.1779 0.8221 0.3080
0.3558 0.1779 0.6920
0.1779 0.3558 0.3080
0.6667 0.3333 0.9980
0.8221 0.1779 0.6920
0.8221 0.6442 0.6920
0.3333 0.6667 0.0020
0.0000 0.0000 0.0000
0.3333 0.6667 0.6594
0.6667 0.3333 0.3406
0.0000 0.0000 0.5000
0.6667 0.3333 0.7784
0.3333 0.6667 0.2216
```

## Properties
spin magnetization	4.001	μB/f.u.
VASP energy	-5.767	eV/atom
V	269	Å³/cell
ΔE_f (raw)	-1.307	eV/atom


Record 6
First-principles (PBE) data for an optimized crystal structure of RbNa3S4O12, as listed in Alexandria via LeMat-Bulk.

```
RbNa3S4O12
1.0
-6.3019 3.3344 1.2491
-1.6434 -5.1474 -4.8162
1.3161 -3.6477 6.1118
O Na S Rb
12 3 4 1
direct
0.5000 0.0795 0.9205
0.9205 0.5000 0.0795
0.9597 0.1976 0.3837
0.5000 0.3681 0.6319
0.0795 0.9205 0.5000
0.3837 0.9597 0.1976
0.1976 0.3837 0.9597
0.6319 0.5000 0.3681
0.6163 0.8024 0.0403
0.3681 0.6319 0.5000
0.8024 0.0403 0.6163
0.0403 0.6163 0.8024
0.0000 0.5515 0.4485
0.5515 0.4485 0.0000
0.4485 0.0000 0.5515
0.9475 0.0525 0.5000
0.5000 0.9475 0.0525
0.0525 0.5000 0.9475
0.5000 0.5000 0.5000
0.0000 0.0000 0.0000
```

## Properties
density of states at the Fermi level	12.32	states/eV per cell
spin magnetization	3.527	μB/f.u.
VASP energy	-5.187	eV/atom
V	337	Å³/cell
ΔE_f (raw)	-1.141	eV/atom


Record 7
First-principles (PBE) data for an optimized crystal structure of RbNaS2O, as listed in Alexandria via LeMat-Bulk.

```
RbNaS2O
1.0
4.6580 0.0000 0.0000
0.0000 4.5720 0.0000
0.0000 0.0000 4.6580
S O Rb Na
2 1 1 1
direct
0.5000 0.0000 0.0000
0.0000 0.0000 0.5000
0.0000 0.0000 0.0000
0.5000 0.5000 0.5000
0.0000 0.5000 0.0000
```

## Properties
density of states at the Fermi level	1.46	states/eV per cell
spin magnetization	0.000	μB/f.u.
VASP energy	-3.408	eV/atom
V	99	Å³/cell
ΔE_f (raw)	-0.308	eV/atom


Record 8
First-principles (PBE) data for an optimized crystal structure of Rb2NaS2O6, as listed in Alexandria via LeMat-Bulk.

```
Rb2NaS2O6
1.0
6.0347 0.0000 0.0000
3.0173 5.2262 0.0000
3.0173 1.7421 6.7240
O S Rb Na
6 2 2 1
direct
0.2646 0.2646 0.7962
0.7354 0.3254 0.2038
0.2646 0.6746 0.7962
0.7354 0.7354 0.2038
0.3254 0.7354 0.2038
0.6746 0.2646 0.7962
0.4268 0.4268 0.7197
0.5732 0.5732 0.2803
0.2537 0.2537 0.2388
0.7463 0.7463 0.7612
0.0000 0.0000 0.0000
```

## Properties
density of states at the Fermi level	1.41	states/eV per cell
spin magnetization	0.963	μB/f.u.
VASP energy	-5.337	eV/atom
V	212	Å³/cell
ΔE_f (raw)	-1.586	eV/atom


Record 9
First-principles (PBE) data for an optimized crystal structure of RbNaS2O8, as listed in Alexandria via LeMat-Bulk.

```
RbNaS2O8
1.0
5.5464 0.0000 0.0000
-2.7732 4.8033 0.0000
0.0000 0.0000 8.2537
O S Rb Na
8 2 1 1
direct
0.1875 0.3754 0.6863
0.3754 0.1879 0.3137
0.3333 0.6667 0.9261
0.6667 0.3333 0.0739
0.8121 0.1875 0.3137
0.6246 0.8121 0.6863
0.1879 0.8125 0.6863
0.8125 0.6246 0.3137
0.3333 0.6667 0.7461
0.6667 0.3333 0.2539
0.0000 0.0000 0.0000
0.0000 0.0000 0.5000
```

## Properties
density of states at the Fermi level	15.45	states/eV per cell
spin magnetization	2.017	μB/f.u.
VASP energy	-5.574	eV/atom
V	220	Å³/cell
ΔE_f (raw)	-1.390	eV/atom


Record 10
First-principles (PBE) data for an optimized crystal structure of RbNaS2O6, as listed in Alexandria via LeMat-Bulk.

```
RbNaS2O6
1.0
7.3064 0.4219 0.2723
-0.4758 7.3031 0.2723
-1.6869 -1.9078 6.1801
O S Na Rb
12 4 2 2
direct
0.1571 0.1828 0.6047
0.3873 0.9529 0.7156
0.0471 0.6127 0.7844
0.5392 0.7043 0.1335
0.1828 0.1571 0.1047
0.6127 0.0471 0.2844
0.4608 0.2957 0.8665
0.7043 0.5392 0.6335
0.8172 0.8429 0.8953
0.8429 0.8172 0.3953
0.9529 0.3873 0.2156
0.2957 0.4608 0.3665
0.1392 0.3093 0.2797
0.6907 0.8608 0.2203
0.3093 0.1392 0.7797
0.8608 0.6907 0.7203
0.3965 0.6035 0.7500
0.6035 0.3965 0.2500
0.1859 0.8141 0.2500
0.8141 0.1859 0.7500
```

## Properties
density of states at the Fermi level	5.40	states/eV per cell
spin magnetization	0.000	μB/f.u.
VASP energy	-5.468	eV/atom
V	338	Å³/cell
ΔE_f (raw)	-1.439	eV/atom


Record 11
First-principles (PBE) data for an optimized crystal structure of RbNa2SbO4, as listed in Alexandria via LeMat-Bulk.

```
RbNa2SbO4
1.0
7.4627 -0.9307 -0.0371
-0.9359 7.4621 -0.0371
-3.2161 -3.2184 4.6527
Sb O Na Rb
2 8 4 2
direct
0.5000 0.5000 0.5000
0.0000 0.0000 0.0000
0.3650 0.6894 0.5273
0.1894 0.8650 0.0273
0.8106 0.1350 0.9727
0.2429 0.2570 0.0296
0.7570 0.7429 0.5296
0.7571 0.7430 0.9704
0.2430 0.2571 0.4704
0.6350 0.3106 0.4727
0.5000 0.5000 0.0000
0.5000 0.0000 0.0000
0.0000 0.0000 0.5000
0.5000 0.0000 0.5000
0.0000 0.5000 0.5000
0.0000 0.5000 0.0000
```

## Properties
spin magnetization	0.000	μB/f.u.
VASP energy	-4.857	eV/atom
V	253	Å³/cell
ΔE_f (raw)	-1.412	eV/atom


Record 12
First-principles (PBE) data for an optimized crystal structure of Rb2NaSb2O7, as listed in Alexandria via LeMat-Bulk.

```
Rb2NaSb2O7
1.0
4.0352 -0.0024 0.0100
0.0025 4.0352 0.0100
1.9892 1.9868 11.2477
Sb O Rb Na
2 7 2 1
direct
0.4113 0.4113 0.1777
0.5887 0.5887 0.8223
0.5819 0.0820 0.8358
0.0820 0.5819 0.8358
0.5000 0.5000 0.0000
0.6746 0.6746 0.6504
0.9180 0.4181 0.1642
0.4181 0.9180 0.1642
0.3254 0.3254 0.3496
0.1906 0.1906 0.6184
0.8094 0.8094 0.3816
0.0000 0.0000 0.0000
```

## Properties
density of states at the Fermi level	7.02	states/eV per cell
spin magnetization	0.730	μB/f.u.
VASP energy	-5.242	eV/atom
V	183	Å³/cell
ΔE_f (raw)	-1.391	eV/atom